This record from the Alexandria database describes crystalline Mg3In at its relaxed geometry. The functional is GGA-PBE.

a b c (Å): 8.6153 8.6153 8.8587
angles (deg): 90.00 90.00 120.00
Element x y z (fractional)
Mg  0.0000  0.0000  0.0778
Mg  0.0000  0.0000  0.5778
Mg  0.0000  0.2664  0.3350
Mg  0.0000  0.3709  0.0000
Mg  0.0000  0.6291  0.5000
Mg  0.0000  0.7336  0.8350
Mg  0.2664  0.0000  0.3350
Mg  0.2664  0.2664  0.8350
Mg  0.3333  0.6667  0.2619
Mg  0.3333  0.6667  0.7619
Mg  0.3709  0.0000  0.0000
Mg  0.3709  0.3709  0.5000
Mg  0.6291  0.0000  0.5000
Mg  0.6291  0.6291  0.0000
Mg  0.6667  0.3333  0.2619
Mg  0.6667  0.3333  0.7619
Mg  0.7336  0.0000  0.8350
Mg  0.7336  0.7336  0.3350
In  0.0000  0.3338  0.6630
In  0.0000  0.6662  0.1630
In  0.3338  0.0000  0.6630
In  0.3338  0.3338  0.1630
In  0.6662  0.0000  0.1630
In  0.6662  0.6662  0.6630

- density (Mg/m³) = 3.28
- symmetry = No. 185

This record from the Alexandria database describes crystalline Mg3In2 at its relaxed geometry. The functional is GGA-PBE.

a b c (Å): 7.4773 7.4773 7.4773
angles (deg): 119.13 79.48 134.09
Element x y z (fractional)
Mg  0.0841  0.6474  0.7314
Mg  0.2500  0.2500  0.0000
Mg  0.4159  0.1474  0.5633
Mg  0.5841  0.8526  0.4367
Mg  0.7500  0.7500  0.0000
Mg  0.9159  0.3526  0.2686
In  0.1754  0.2633  0.4387
In  0.3246  0.7633  0.0879
In  0.6754  0.2367  0.9121
In  0.8246  0.7367  0.5613

- relative energy among the computed polymorphs (eV per atom) = 0.100
- density (Mg/m³) = 3.96
- symmetry = No. 72

| no. | total magnetization (μB per formula unit) | energy (eV per cell) | formation energy (eV/atom) |
| --- | --- | --- | --- |
| 1 | 0.000 | -45.9 | -0.031 |
| 2 | 0.000 | -20.2 | 0.029 |